1.
Crystalline ZnHgSCl2 at its relaxed geometry. Source: the Alexandria database, functional PBE.

## Properties
Polymorph energy (0 for the lowest one) in meV per atom: 345
M_tot in μB/cell: 0.00
E_form (uncorrected) in eV/atom: 0.172
Mass density in g cm⁻³: 4.7

Structure (CIF):
```
data_ZnHgSCl2
_cell_length_a 4.929
_cell_length_b 4.929
_cell_length_c 5.347
_cell_angle_alpha 90.00
_cell_angle_beta 90.00
_cell_angle_gamma 90.00
_space_group_name_H-M_alt 'P 4/m m m'
_space_group_IT_number 123
_space_group_name_Hall '-P 4 2'
loop_
_atom_site_label
_atom_site_fract_x
_atom_site_fract_y
_atom_site_fract_z
Zn1 0.000 0.000 0.000
Hg1 0.500 0.500 0.000
S1 0.500 0.500 0.500
Cl1 0.000 0.500 0.500
```

2.
Crystalline ZnHgSCl2 at its relaxed geometry. Source: the Alexandria database, functional PBE.

## Properties
Polymorph energy (0 for the lowest one) in meV per atom: 0
M_tot in μB/cell: 0.00
E_form (uncorrected) in eV/atom: -0.174
Mass density in g cm⁻³: 5.3

Structure (CIF):
```
data_ZnHgSCl2
_cell_length_a 4.682
_cell_length_b 4.682
_cell_length_c 5.235
_cell_angle_alpha 90.00
_cell_angle_beta 90.00
_cell_angle_gamma 90.00
_space_group_name_H-M_alt 'P 4/m m m'
_space_group_IT_number 123
_space_group_name_Hall '-P 4 2'
loop_
_atom_site_label
_atom_site_fract_x
_atom_site_fract_y
_atom_site_fract_z
Zn1 0.000 0.000 0.000
Hg1 0.500 0.500 0.500
S1 0.000 0.000 0.500
Cl1 0.000 0.500 0.000
```

3.
Crystalline ZnHgSCl2 at its relaxed geometry. Source: the Alexandria database, functional PBE.

## Properties
Polymorph energy (0 for the lowest one) in meV per atom: 414
M_tot in μB/cell: 0.00
E_form (uncorrected) in eV/atom: 0.240
Mass density in g cm⁻³: 4.5

Structure (CIF):
```
data_ZnHgSCl2
_cell_length_a 5.139
_cell_length_b 5.139
_cell_length_c 5.173
_cell_angle_alpha 90.00
_cell_angle_beta 90.00
_cell_angle_gamma 90.00
_space_group_name_H-M_alt 'P 4/m m m'
_space_group_IT_number 123
_space_group_name_Hall '-P 4 2'
loop_
_atom_site_label
_atom_site_fract_x
_atom_site_fract_y
_atom_site_fract_z
Zn1 0.000 0.000 0.000
Hg1 0.500 0.500 0.500
S1 0.500 0.500 0.000
Cl1 0.000 0.500 0.500
```